(1)
DFT (PBE) results for Ac3SmSi6 after structural relaxation.

Cell lengths 8.0782, 8.0782, 8.0782 Å; angles 98.39, 98.39, 98.39 degrees
Positions (direct):
Ac 0.1884 0.7500 0.3116
Ac 0.3116 0.1884 0.7500
Ac 0.2500 0.6884 0.8116
Ac 0.7500 0.3116 0.1884
Ac 0.6884 0.8116 0.2500
Ac 0.8116 0.2500 0.6884
Sm 0.0000 0.0000 0.0000
Sm 0.5000 0.5000 0.5000
Si 0.9069 0.6074 0.9822
Si 0.0178 0.0931 0.3926
Si 0.1074 0.4069 0.4822
Si 0.3926 0.0178 0.0931
Si 0.4069 0.4822 0.1074
Si 0.5178 0.8926 0.5931
Si 0.4822 0.1074 0.4069
Si 0.5931 0.5178 0.8926
Si 0.6074 0.9822 0.9069
Si 0.8926 0.5931 0.5178
Si 0.9822 0.9069 0.6074
Si 0.0931 0.3926 0.0178

## Properties
Formation energy (no corrections) (eV/f.u.): -4.7

(2)
DFT (PBE) results for Ac2Sm3Si4 after structural relaxation.

Cell lengths 7.8428, 8.0200, 8.0975 Å; angles 90.00, 90.00, 106.39 degrees
Positions (direct):
Ac 0.5849 0.1986 0.3240
Ac 0.9151 0.8014 0.8240
Ac 0.4151 0.8014 0.6760
Ac 0.0849 0.1986 0.1760
Sm 0.0000 0.5000 0.5000
Sm 0.5000 0.5000 0.0000
Sm 0.7558 0.2456 0.8187
Sm 0.7442 0.7544 0.3187
Sm 0.2442 0.7544 0.1813
Sm 0.2558 0.2456 0.6813
Si 0.8870 0.0791 0.5309
Si 0.6130 0.9209 0.0309
Si 0.1130 0.9209 0.4691
Si 0.3870 0.0791 0.9691
Si 0.8778 0.4970 0.1171
Si 0.6222 0.5030 0.6171
Si 0.1222 0.5030 0.8829
Si 0.3778 0.4970 0.3829

## Properties
Formation energy (no corrections) (eV/f.u.): -6.0

(3)
DFT (PBE) results for Ac2SmSi after structural relaxation.

Cell lengths 4.1465, 4.1465, 11.2673 Å; angles 79.40, 79.40, 60.00 degrees
Positions (direct):
Ac 0.1107 0.1107 0.6680
Ac 0.8893 0.8893 0.3320
Si 0.5000 0.5000 0.5000
Sm 0.0000 0.0000 0.0000

## Properties
Offset from the most stable computed form (meV per atom): 247
Formation energy (no corrections) (eV/f.u.): 0.6

(4)
DFT (PBE) results for AcSm2Si after structural relaxation.

Cell lengths 3.9806, 3.9806, 11.1408 Å; angles 79.71, 79.71, 60.00 degrees
Positions (direct):
Ac 0.0000 0.0000 0.0000
Si 0.5000 0.5000 0.5000
Sm 0.1154 0.1154 0.6538
Sm 0.8846 0.8846 0.3462

## Properties
Offset from the most stable computed form (meV per atom): 163
Formation energy (no corrections) (eV/f.u.): -0.2

(5)
DFT (PBE) results for AcSmSi3 after structural relaxation.

Cell lengths 4.0438, 4.5723, 12.7719 Å; angles 100.31, 90.00, 90.00 degrees
Positions (direct):
Ac 0.2500 0.0710 0.1421
Ac 0.7500 0.9290 0.8579
Sm 0.2500 0.7978 0.5955
Sm 0.7500 0.2022 0.4045
Si 0.2500 0.3780 0.7559
Si 0.7500 0.6220 0.2441
Si 0.2500 0.4748 0.9497
Si 0.7500 0.5252 0.0503
Si 0.7500 0.3213 0.6427
Si 0.2500 0.6787 0.3573

## Properties
Formation energy (no corrections) (eV/f.u.): -3.3

(6)
DFT (PBE) results for AcSm2Si4 after structural relaxation.

Cell lengths 3.9802, 4.5616, 9.4436 Å; angles 103.98, 102.17, 90.00 degrees
Positions (direct):
Ac 0.5000 0.0000 0.0000
Sm 0.8175 0.8175 0.6351
Sm 0.1825 0.1825 0.3649
Si 0.6492 0.6492 0.2984
Si 0.3508 0.3508 0.7016
Si 0.0685 0.5685 0.1369
Si 0.9315 0.4315 0.8631

## Properties
Formation energy (no corrections) (eV/f.u.): -5.0

(7)
DFT (PBE) results for Ac3SmSi7 after structural relaxation.

Cell lengths 4.4669, 10.0265, 12.0337 Å; angles 90.00, 90.00, 102.87 degrees
Positions (direct):
Ac 0.1060 0.2121 0.4513
Ac 0.8940 0.7879 0.5487
Ac 0.2472 0.4945 0.7500
Ac 0.7528 0.5055 0.2500
Ac 0.1060 0.2121 0.0487
Ac 0.8940 0.7879 0.9513
Sm 0.9534 0.9069 0.2500
Sm 0.0466 0.0931 0.7500
Si 0.4285 0.8570 0.7500
Si 0.5715 0.1430 0.2500
Si 0.4876 0.9752 0.4042
Si 0.5124 0.0248 0.5958
Si 0.5124 0.0248 0.9042
Si 0.4876 0.9752 0.0958
Si 0.3656 0.7312 0.3495
Si 0.6344 0.2688 0.6505
Si 0.2691 0.5382 0.4684
Si 0.7309 0.4618 0.5316
Si 0.7309 0.4618 0.9684
Si 0.2691 0.5382 0.0316
Si 0.3656 0.7312 0.1505
Si 0.6344 0.2688 0.8495

## Properties
Formation energy (no corrections) (eV/f.u.): -6.2

(8)
DFT (PBE) results for AcSmSi4 after structural relaxation.

Cell lengths 5.6129, 5.6129, 5.6129 Å; angles 60.00, 60.00, 60.00 degrees
Positions (direct):
Ac 0.0000 0.0000 0.0000
Si 0.6138 0.6138 0.1585
Si 0.6138 0.1585 0.6138
Si 0.6138 0.6138 0.6138
Si 0.1585 0.6138 0.6138
Sm 0.2500 0.2500 0.2500

## Properties
Offset from the most stable computed form (meV per atom): 263
Formation energy (no corrections) (eV/f.u.): -1.4

no.,total energy (eV per cell)
1,-108.64
2,-100.19
3,-17.76
4,-19.19
5,-56.71
6,-40.21
7,-122.45
8,-31.88